No. 1
Below is a relaxed structure of TcAgSn, with properties calculated at the GGA-PBE level.

## Properties
Energy of formation from the pure elements, eV per atom: 0.2460

Cell: 3.7096 3.7096 8.8857 Å, 86.48 86.48 78.87°
Element x y z (fractional)
Ag1 0.1610 0.1610 0.5682
Tc1 0.5521 0.5521 0.0889
Sn1 0.1266 0.1266 0.9130
Sn2 0.6265 0.6265 0.3944
Tc2 0.2010 0.2010 0.2185
Ag2 0.5923 0.5923 0.7391

***

No. 2
Below is a relaxed structure of Y2TcAgSn, with properties calculated at the GGA-PBE level.

## Properties
Energy of formation from the pure elements, eV per atom: 0.0898

Cell: 5.2962 5.1224 5.2962 Å, 90.00 90.00 90.00°
Element x y z (fractional)
Y1 0.5000 0.0000 0.0000
Ag1 0.5000 0.5000 0.5000
Sn1 0.0000 0.5000 0.0000
Y2 0.0000 0.0000 0.5000
Tc1 0.0000 0.0000 0.0000

***

No. 3
Below is a relaxed structure of Ag3SnTe, with properties calculated at the GGA-PBE level.

## Properties
Energy relative to the elements, uncorrected, eV per formula unit: 2.7

Cell: 5.3205 5.3205 5.3205 Å, 90.00 90.00 90.00°
Element x y z (fractional)
Sn1 0.5000 0.5000 0.5000
Ag1 0.0000 0.0000 0.5000
Ag2 0.0000 0.5000 0.0000
Ag3 0.5000 0.0000 0.0000
Te1 0.0000 0.0000 0.0000

***

No. 4
Below is a relaxed structure of AgSnTe3, with properties calculated at the GGA-PBE level.

## Properties
Energy relative to the elements, uncorrected, eV per formula unit: 1.8

Cell: 5.4324 5.4324 5.4324 Å, 90.00 90.00 90.00°
Element x y z (fractional)
Te1 0.5000 0.0000 0.0000
Sn1 0.5000 0.5000 0.5000
Ag1 0.0000 0.0000 0.0000
Te2 0.0000 0.0000 0.5000
Te3 0.0000 0.5000 0.0000

***

No. 5
Below is a relaxed structure of Ag3Sn2Te4, with properties calculated at the GGA-PBE level.

## Properties
Energy relative to the elements, uncorrected, eV per formula unit: -1.0

Cell: 6.8850 8.6746 8.6746 Å, 89.07 87.74 87.74°
Element x y z (fractional)
Te1 0.9923 0.2380 0.4953
Sn1 0.4300 0.2393 0.4961
Te2 0.4799 0.9853 0.7641
Ag1 0.5679 0.7405 0.9902
Ag2 0.7500 0.2195 0.7805
Sn2 0.9300 0.4961 0.2393
Ag3 0.4321 0.2595 0.0098
Te3 0.5201 0.0147 0.2359
Te4 0.0201 0.2359 0.0147
Ag4 0.0679 0.9902 0.7405
Sn3 0.5700 0.7607 0.5039
Te5 0.4924 0.4953 0.2380
Te6 0.9799 0.7641 0.9853
Ag5 0.9321 0.0098 0.2595
Sn4 0.0700 0.5039 0.7607
Te7 0.5076 0.5047 0.7620
Te8 0.0077 0.7620 0.5047
Ag6 0.2500 0.7805 0.2195

***

No. 6
Below is a relaxed structure of AgSn2Te3, with properties calculated at the GGA-PBE level.

## Properties
Energy relative to the elements, uncorrected, eV per formula unit: -1.1

Cell: 6.1867 8.7301 13.2076 Å, 90.00 90.00 90.01°
Element x y z (fractional)
Te1 0.2500 0.6156 0.5804
Te2 0.2501 0.1368 0.5790
Sn1 0.7493 0.1259 0.2623
Te3 0.2497 0.1260 0.2511
Te4 0.7500 0.3844 0.4196
Te5 0.7499 0.3632 0.0790
Te6 0.7503 0.8740 0.7489
Sn2 0.7501 0.1329 0.5804
Te7 0.7503 0.3740 0.7511
Te8 0.2497 0.6260 0.2489
Sn3 0.2507 0.8741 0.7377
Te9 0.7500 0.8844 0.0804
Te10 0.2501 0.6368 0.9210
Ag1 0.7505 0.6216 0.5925
Ag2 0.2495 0.8784 0.0925
Sn4 0.2499 0.3671 0.0804
Te11 0.7499 0.8632 0.4210
Ag3 0.7505 0.1216 0.9075
Te12 0.2500 0.1156 0.9196
Sn5 0.2507 0.3741 0.7623
Sn6 0.7493 0.6259 0.2377
Ag4 0.2495 0.3784 0.4075
Sn7 0.2499 0.8671 0.4196
Sn8 0.7501 0.6329 0.9196

***

No. 7
Below is a relaxed structure of AgSn2Te3, with properties calculated at the GGA-PBE level.

## Properties
Energy relative to the elements, uncorrected, eV per formula unit: -1.2

Cell: 4.3984 6.1854 7.5489 Å, 114.19 106.94 90.00°
Element x y z (fractional)
Sn1 0.1704 0.1704 0.8409
Ag1 0.5000 0.5000 0.5000
Te1 0.1588 0.6588 0.8176
Te2 0.8412 0.3412 0.1824
Te3 0.5000 0.0000 0.5000
Sn2 0.8296 0.8296 0.1591

***

No. 8
Below is a relaxed structure of AgSnTe3, with properties calculated at the GGA-PBE level.

## Properties
Energy relative to the elements, uncorrected, eV per formula unit: 2.9

Cell: 5.7152 5.7152 5.7152 Å, 90.00 90.00 90.00°
Element x y z (fractional)
Sn1 0.0000 0.0000 0.0000
Te1 0.0000 0.0000 0.5000
Te2 0.0000 0.5000 0.0000
Te3 0.5000 0.0000 0.0000
Ag1 0.5000 0.5000 0.5000

***

No. 9
Below is a relaxed structure of Ag14Sn2Te9, with properties calculated at the GGA-PBE level.

## Properties
Energy relative to the elements, uncorrected, eV per formula unit: -1.1

Cell: 8.8725 8.7932 10.9986 Å, 91.85 92.51 127.57°
Element x y z (fractional)
Ag1 0.3285 0.0213 0.1041
Ag2 0.3424 0.3581 0.4024
Te1 0.6409 0.3021 0.9736
Ag3 0.8298 0.9829 0.4419
Ag4 0.0769 0.6694 0.4253
Ag5 0.9789 0.3299 0.0439
Ag6 0.0563 0.9950 0.2597
Te2 0.7283 0.6250 0.3330
Te3 0.2717 0.3750 0.6670
Te4 0.6066 0.9427 0.6381
Te5 0.3591 0.6979 0.0264
Te6 0.0195 0.3371 0.3118
Te7 0.3934 0.0573 0.3619
Ag7 0.9437 0.0050 0.7403
Ag8 0.6715 0.9787 0.8959
Ag9 0.6832 0.6316 0.0747
Ag10 0.9231 0.3306 0.5747
Ag11 0.1702 0.0171 0.5581
Ag12 0.3168 0.3684 0.9253
Sn1 0.5758 0.2743 0.6991
Te8 0.9805 0.6629 0.6882
Ag13 0.0211 0.6701 0.9561
Ag14 0.6576 0.6419 0.5976
Te9 0.0000 0.0000 0.0000
Sn2 0.4242 0.7257 0.3009

***

No. 10
Below is a relaxed structure of Ag4Sn3Te8, with properties calculated at the GGA-PBE level.

## Properties
Energy relative to the elements, uncorrected, eV per formula unit: -1.2

Cell: 8.6113 8.6114 8.7836 Å, 60.65 60.65 60.00°
Element x y z (fractional)
Te1 0.2421 0.7710 0.7448
Ag1 0.5000 0.5000 0.5000
Te2 0.7579 0.7579 0.2552
Te3 0.7544 0.7544 0.7367
Ag2 0.0000 0.0000 0.0000
Te4 0.2456 0.2456 0.2633
Te5 0.7579 0.2290 0.2552
Te6 0.7710 0.2421 0.7448
Ag3 0.6287 0.6287 0.1140
Ag4 0.3713 0.3713 0.8860
Sn1 0.5000 0.0000 0.5000
Te7 0.2290 0.7579 0.2552
Te8 0.2421 0.2421 0.7448
Sn2 0.0000 0.0000 0.5000
Sn3 0.0000 0.5000 0.5000

***

No. 11
Below is a relaxed structure of Ag3Sn4Te8, with properties calculated at the GGA-PBE level.

## Properties
Energy relative to the elements, uncorrected, eV per formula unit: -2.0

Cell: 8.5699 8.5774 8.5774 Å, 90.22 119.80 119.80°
Element x y z (fractional)
Ag1 0.5000 0.5000 0.0000
Te1 0.0000 0.2506 0.7494
Te2 0.5000 0.7452 0.2548
Te3 0.9905 0.7413 0.7413
Sn1 0.0000 0.0000 0.5000
Te4 0.5096 0.7500 0.7500
Te5 0.0000 0.7494 0.2506
Sn2 0.5000 0.0000 0.0000
Te6 0.5000 0.2548 0.7452
Te7 0.4904 0.2500 0.2500
Sn3 0.0000 0.0000 0.0000
Ag2 0.5000 0.0000 0.5000
Te8 0.0095 0.2587 0.2587
Ag3 0.5000 0.5000 0.5000
Sn4 0.0000 0.5000 0.0000

***

No. 12
Below is a relaxed structure of AgSn2Te, with properties calculated at the GGA-PBE level.

## Properties
Energy relative to the elements, uncorrected, eV per formula unit: 0.1

Cell: 4.0711 4.0711 8.0456 Å, 75.34 75.34 60.00°
Element x y z (fractional)
Sn1 0.2587 0.2587 0.2239
Sn2 0.0743 0.0743 0.7771
Te1 0.4996 0.4996 0.5011
Ag1 0.6674 0.6674 0.9978

***

No. 13
Below is a relaxed structure of Ag3SnTe4, with properties calculated at the GGA-PBE level.

## Properties
Energy relative to the elements, uncorrected, eV per formula unit: -0.9

Cell: 6.4323 6.4323 7.9240 Å, 113.95 113.95 90.00°
Element x y z (fractional)
Ag1 0.7500 0.2500 0.5000
Te1 0.3799 0.3799 0.2545
Ag2 0.5000 0.5000 0.0000
Te2 0.8746 0.8746 0.2545
Sn1 0.0000 0.0000 0.0000
Te3 0.6201 0.1254 0.7455
Ag3 0.2500 0.7500 0.5000
Te4 0.1254 0.6201 0.7455

***

No. 14
Below is a relaxed structure of AgSn3Te3, with properties calculated at the GGA-PBE level.

## Properties
Energy relative to the elements, uncorrected, eV per formula unit: -0.8

Cell: 5.9909 9.4305 9.4305 Å, 120.00 90.00 90.00°
Element x y z (fractional)
Te1 0.2500 0.3485 0.0648
Sn1 0.2500 0.5366 0.8766
Sn2 0.7500 0.6600 0.5366
Sn3 0.2500 0.1234 0.6600
Sn4 0.2500 0.3400 0.4634
Te2 0.2500 0.9352 0.2837
Ag1 0.7500 0.3333 0.6667
Te3 0.7500 0.0648 0.7163
Te4 0.2500 0.7163 0.6515
Te5 0.7500 0.6515 0.9352
Te6 0.7500 0.2837 0.3485
Sn5 0.7500 0.4634 0.1234
Sn6 0.7500 0.8766 0.3400
Ag2 0.2500 0.6667 0.3333

***

No. 15
Below is a relaxed structure of Ag5SnTe4, with properties calculated at the GGA-PBE level.

## Properties
Energy relative to the elements, uncorrected, eV per formula unit: -0.6

Cell: 6.4904 9.4000 9.2910 Å, 90.00 90.00 90.00°
Element x y z (fractional)
Ag1 0.7706 0.6949 0.7418
Te1 0.9234 0.0000 0.3153
Te2 0.9234 0.0000 0.6847
Te3 0.5088 0.2692 0.5000
Ag2 0.6882 0.5000 0.0000
Te4 0.5088 0.7308 0.5000
Te5 0.0766 0.5000 0.8153
Ag3 0.7706 0.3051 0.7418
Te6 0.4912 0.7692 0.0000
Ag4 0.2294 0.8051 0.2418
Ag5 0.7706 0.3051 0.2582
Te7 0.4912 0.2308 0.0000
Ag6 0.2294 0.1949 0.7582
Te8 0.0766 0.5000 0.1847
Sn1 0.2060 0.5000 0.5000
Ag7 0.2294 0.1949 0.2418
Ag8 0.2294 0.8051 0.7582
Ag9 0.3118 0.0000 0.5000
Sn2 0.7940 0.0000 0.0000
Ag10 0.7706 0.6949 0.2582

***

No. 16
Below is a relaxed structure of AgSn3Te, with properties calculated at the GGA-PBE level.

## Properties
Energy relative to the elements, uncorrected, eV per formula unit: 1.5

Cell: 5.3876 5.3876 5.3876 Å, 90.00 90.00 90.00°
Element x y z (fractional)
Sn1 0.5000 0.0000 0.0000
Sn2 0.0000 0.0000 0.5000
Te1 0.5000 0.5000 0.5000
Ag1 0.0000 0.0000 0.0000
Sn3 0.0000 0.5000 0.0000

***

No. 17
Below is a relaxed structure of AgSn2Te, with properties calculated at the GGA-PBE level.

## Properties
Energy relative to the elements, uncorrected, eV per formula unit: 0.0

Cell: 4.1506 4.1506 7.7777 Å, 74.52 74.52 60.00°
Element x y z (fractional)
Sn1 0.2582 0.2582 0.2255
Te1 0.5000 0.5000 0.5000
Ag1 0.0000 0.0000 0.0000
Sn2 0.7418 0.7418 0.7745

***

No. 18
Below is a relaxed structure of Ag2SnTe, with properties calculated at the GGA-PBE level.

## Properties
Energy relative to the elements, uncorrected, eV per formula unit: 0.3

Cell: 4.3463 4.3463 6.5375 Å, 70.58 70.58 60.00°
Element x y z (fractional)
Sn1 0.0000 0.0000 0.0000
Te1 0.5000 0.5000 0.5000
Ag1 0.2512 0.2512 0.2464
Ag2 0.7488 0.7488 0.7536

***

No. 19
Below is a relaxed structure of Ag2SnTe, with properties calculated at the GGA-PBE level.

## Properties
Energy relative to the elements, uncorrected, eV per formula unit: 0.5

Cell: 7.9106 7.9106 6.4271 Å, 52.02 52.02 90.00°
Element x y z (fractional)
Ag1 0.6287 0.1250 0.2500
Sn1 0.2500 0.7500 0.5000
Ag2 0.8750 0.8787 0.7500
Te1 0.7500 0.2500 0.5000
Ag3 0.1213 0.6250 0.2500
Sn2 0.5000 0.5000 0.0000
Te2 0.0000 0.0000 0.0000
Ag4 0.3750 0.3713 0.7500

***

No. 20
Below is a relaxed structure of AgSn2Te, with properties calculated at the GGA-PBE level.

## Properties
Energy relative to the elements, uncorrected, eV per formula unit: 0.4

Cell: 6.6715 6.6715 7.9888 Å, 65.32 65.32 90.00°
Element x y z (fractional)
Sn1 0.8750 0.8397 0.7500
Ag1 0.2500 0.7500 0.5000
Te1 0.0000 0.0000 0.0000
Ag2 0.5000 0.5000 0.0000
Sn2 0.1603 0.6250 0.2500
Te2 0.7500 0.2500 0.5000
Sn3 0.5897 0.1250 0.2500
Sn4 0.3750 0.4103 0.7500